Record 1
# ScCoSe2Br, optimized geometry, DFT PBE-GGA
data_ScCoSe2Br
_symmetry_space_group_name_H-M 'P 4/m m m'
_symmetry_Int_Tables_number 123
_symmetry_space_group_name_Hall '-P 4 2'
_cell_length_a 4.7583
_cell_length_b 4.7583
_cell_length_c 4.6587
_cell_angle_alpha 90.00
_cell_angle_beta 90.00
_cell_angle_gamma 90.00
loop_
_atom_site_label
_atom_site_fract_x
_atom_site_fract_y
_atom_site_fract_z
_atom_site_occupancy
Sc1 0.0000 0.0000 0.0000 1
Co1 0.5000 0.5000 0.5000 1
Se1 0.0000 0.5000 0.5000 1
Br1 0.5000 0.5000 0.0000 1
# calculated volume: 21.10 A^3/atom
# relative energy among the computed polymorphs: 0.0 meV/atom
# Fermi-level density of states: 2.61 states/eV per cell

Record 2
# Nd5Hg2O, optimized geometry, DFT PBE-GGA
data_Nd5Hg2O
_symmetry_space_group_name_H-M 'P n m a'
_symmetry_Int_Tables_number 62
_cell_length_a 9.0108
_cell_length_b 6.9044
_cell_length_c 14.2211
_cell_angle_alpha 90.00
_cell_angle_beta 90.00
_cell_angle_gamma 90.00
loop_
_symmetry_equiv_pos_as_xyz
'x,y,z'
'-x,-y,-z'
'-x+1/2,-y,z+1/2'
'x+1/2,y,-z+1/2'
'x+1/2,-y+1/2,-z+1/2'
'-x+1/2,y+1/2,z+1/2'
'-x,y+1/2,-z'
'x,-y+1/2,z'
loop_
_atom_site_label
_atom_site_fract_x
_atom_site_fract_y
_atom_site_fract_z
_atom_site_occupancy
Nd1 0.0000 0.0000 0.0000 1
Nd2 0.0599 0.2500 0.2111 1
Nd3 0.1337 0.0007 0.6016 1
Nd4 0.2325 0.7500 0.3757 1
Hg1 0.0624 0.7500 0.1907 1
Hg2 0.2121 0.2500 0.4098 1
O1 0.1875 0.2500 0.0483 1
# calculated volume: 27.65 A^3/atom
# uncorrected energy: -144.915 eV/cell
# Fermi-level density of states: 32.78 states/eV per cell

Record 3
# Lu2CuAg, optimized geometry, DFT PBE-GGA
data_Lu2CuAg
_symmetry_space_group_name_H-M 'F m -3 m'
_symmetry_Int_Tables_number 225
_symmetry_space_group_name_Hall '-F 4 2 3'
_cell_length_a 6.9737
_cell_length_b 6.9737
_cell_length_c 6.9737
_cell_angle_alpha 90.00
_cell_angle_beta 90.00
_cell_angle_gamma 90.00
loop_
_atom_site_label
_atom_site_fract_x
_atom_site_fract_y
_atom_site_fract_z
_atom_site_occupancy
Lu1 0.2500 0.2500 0.2500 1
Cu1 0.0000 0.0000 0.0000 1
Ag1 0.0000 0.0000 0.5000 1
# calculated volume: 21.20 A^3/atom
# energy relative to the elements: -0.300 eV/atom
# relative energy among the computed polymorphs: 17.8 meV/atom
# Fermi-level density of states: 9.59 states/eV per cell

Record 4
# KMnGaCl4, optimized geometry, DFT PBE-GGA
data_KMnGaCl4
_symmetry_space_group_name_H-M 'P 1 21/m 1'
_symmetry_Int_Tables_number 11
_cell_length_a 7.0407
_cell_length_b 7.2943
_cell_length_c 8.7206
_cell_angle_alpha 90.00
_cell_angle_beta 108.18
_cell_angle_gamma 90.00
loop_
_symmetry_equiv_pos_as_xyz
'x,y,z'
'-x,-y,-z'
'-x,y+1/2,-z'
'x,-y+1/2,z'
loop_
_atom_site_label
_atom_site_fract_x
_atom_site_fract_y
_atom_site_fract_z
_atom_site_occupancy
K1 0.2018 0.2500 0.0292 1
Mn1 0.2303 0.7500 0.7866 1
Ga1 0.2561 0.2500 0.5259 1
Cl1 0.0066 0.0081 0.2769 1
Cl2 0.3945 0.7500 0.0627 1
Cl3 0.4529 0.7500 0.6358 1
# calculated volume: 30.39 A^3/atom
# uncorrected energy: -58.399 eV/cell
# Fermi-level density of states: 0.00 states/eV per cell

Record 5
# BaFeB2, optimized geometry, DFT PBE-GGA
data_BaFeB2
_symmetry_space_group_name_H-M 'F m -3 m'
_symmetry_Int_Tables_number 225
_symmetry_space_group_name_Hall '-F 4 2 3'
_cell_length_a 6.4591
_cell_length_b 6.4591
_cell_length_c 6.4591
_cell_angle_alpha 90.00
_cell_angle_beta 90.00
_cell_angle_gamma 90.00
loop_
_atom_site_label
_atom_site_fract_x
_atom_site_fract_y
_atom_site_fract_z
_atom_site_occupancy
Ba1 0.0000 0.0000 0.0000 1
Fe1 0.0000 0.0000 0.5000 1
B1 0.2500 0.2500 0.2500 1
# calculated volume: 16.84 A^3/atom
# energy relative to the elements: 1.579 eV/atom
# relative energy among the computed polymorphs: 1370.4 meV/atom
# Fermi-level density of states: 16.48 states/eV per cell

Record 6
# TaV2Cl, optimized geometry, DFT PBE-GGA
data_TaV2Cl
_symmetry_space_group_name_H-M 'I -4 2 d'
_symmetry_Int_Tables_number 122
_symmetry_space_group_name_Hall 'I -4 2bw'
_cell_length_a 7.1260
_cell_length_b 7.1260
_cell_length_c 4.9452
_cell_angle_alpha 90.00
_cell_angle_beta 90.00
_cell_angle_gamma 90.00
loop_
_atom_site_label
_atom_site_fract_x
_atom_site_fract_y
_atom_site_fract_z
_atom_site_occupancy
Ta1 0.0000 0.0000 0.0000 1
V1 0.1618 0.2500 0.6250 1
Cl1 0.0000 0.0000 0.5000 1
# calculated volume: 15.69 A^3/atom
# relative energy among the computed polymorphs: 0.0 meV/atom
# Fermi-level density of states: 21.52 states/eV per cell

Record 7
# SmZnGaPt2, optimized geometry, DFT PBE-GGA
data_SmZnGaPt2
_symmetry_space_group_name_H-M 'I -4 m 2'
_symmetry_Int_Tables_number 119
_symmetry_space_group_name_Hall 'I -4 -2'
_cell_length_a 3.9808
_cell_length_b 3.9808
_cell_length_c 12.1184
_cell_angle_alpha 90.00
_cell_angle_beta 90.00
_cell_angle_gamma 90.00
loop_
_atom_site_label
_atom_site_fract_x
_atom_site_fract_y
_atom_site_fract_z
_atom_site_occupancy
Sm1 0.0000 0.0000 0.0000 1
Zn1 0.0000 0.5000 0.7500 1
Ga1 0.0000 0.5000 0.2500 1
Pt1 0.0000 0.0000 0.3880 1
# calculated volume: 19.20 A^3/atom
# energy relative to the elements: -0.868 eV/atom
# Fermi-level density of states: 5.08 states/eV per cell

Record 8
# TaTcIr2, optimized geometry, DFT PBE-GGA
data_TaTcIr2
_symmetry_space_group_name_H-M 'P 4 m m'
_symmetry_Int_Tables_number 99
_cell_length_a 3.3217
_cell_length_b 3.3217
_cell_length_c 5.6998
_cell_angle_alpha 90.00
_cell_angle_beta 90.00
_cell_angle_gamma 90.00
loop_
_symmetry_equiv_pos_as_xyz
'x,y,z'
'-y,x,z'
'-x,-y,z'
'y,-x,z'
'-x,y,z'
'y,x,z'
'x,-y,z'
'-y,-x,z'
loop_
_atom_site_label
_atom_site_fract_x
_atom_site_fract_y
_atom_site_fract_z
_atom_site_occupancy
Ta1 0.0000 0.0000 0.0000 1
Tc1 0.5000 0.5000 0.2852 1
Ir1 0.0000 0.0000 0.4953 1
Ir2 0.5000 0.5000 0.7676 1
# calculated volume: 15.72 A^3/atom
# energy relative to the elements: -0.133 eV/atom
# relative energy among the computed polymorphs: 376.1 meV/atom
# Fermi-level density of states: 3.96 states/eV per cell